# Ce4PrY (GGA-PBE, relaxed)
# **Raw total energy**: -5.631 eV/atom
# **SG**: No. 216
# **ρ**: 7.169 g/cm3
# **Calculated formation energy**: 0.199 eV per atom
data_Ce4PrY
_chemical_formula_sum 'Ce4 Pr1 Y1'
_space_group_name_H-M_alt 'P 1'
_space_group_IT_number 1
_space_group_name_Hall 'P 1'
_cell_length_a 6.3733
_cell_length_b 6.3733
_cell_length_c 6.3733
_cell_angle_alpha 60.00
_cell_angle_beta 60.00
_cell_angle_gamma 60.00
loop_
_atom_site_label
_atom_site_type_symbol
_atom_site_fract_x
_atom_site_fract_y
_atom_site_fract_z
Ce1 Ce 0.6299 0.1102 0.6299
Ce2 Ce 0.6299 0.6299 0.6299
Ce3 Ce 0.6299 0.6299 0.1102
Ce4 Ce 0.1102 0.6299 0.6299
Y1 Y 0.0000 0.0000 0.0000
Pr1 Pr 0.2500 0.2500 0.2500